Below is a geometry-optimized CsCaAsI6 structure, with properties calculated at the PBE-GGA level.

It has space group P312 (No. 149), with a = 7.8586 Å, b = 7.8586 Å, c = 8.6735 Å, α = 90.00°, β = 90.00° and γ = 120.00°. The distinct sites, in fractional coordinates, are Cs at (0.0000, 0.0000, 0.0000), Ca at (0.3333, 0.6667, 0.5000), As at (0.6667, 0.3333, 0.5000) and I at (0.3816, 0.0230, 0.6975).

As for the uncorrected formation energy: -0.951 eV/atom.

=====

Below is a geometry-optimized Cs2CaAsI6 structure, with properties calculated at the PBE-GGA level.

It has space group I4/mmm (No. 139), with a = 8.489 Å, b = 8.489 Å, c = 13.303 Å, α = 90.00°, β = 90.00° and γ = 90.00°. The distinct sites, in fractional coordinates, are Cs at (0.000, 0.500, 0.250), Ca at (0.000, 0.000, 0.000), As at (0.000, 0.000, 0.500), I at (0.000, 0.000, 0.230) and I at (0.237, 0.237, 0.500).

As for the uncorrected formation energy: -1.036 eV/atom.

=====

Below is a geometry-optimized Cs2KCaAs structure, with properties calculated at the PBE-GGA level.

It has space group P4/mmm (No. 123), with a = 7.507 Å, b = 7.507 Å, c = 5.657 Å, α = 90.00°, β = 90.00° and γ = 90.00°. The distinct sites, in fractional coordinates, are Cs at (0.000, 0.500, 0.000), K at (0.000, 0.000, 0.500), Ca at (0.500, 0.500, 0.500) and As at (0.500, 0.500, 0.000).

The energy of formation from the pure elements comes out at -0.233 eV/atom.

=====

Below is a geometry-optimized Cs2CaAsO4 structure, with properties calculated at the PBE-GGA level.

It has space group Fddd (No. 70, origin choice 2), with a = 5.847 Å, b = 13.187 Å, c = 24.985 Å, α = 90.00°, β = 90.00° and γ = 90.00°. The distinct sites, in fractional coordinates, are Cs at (0.125, 0.125, 0.306), Ca at (0.125, 0.125, 0.125), As at (0.125, 0.125, 0.625) and O at (0.067, 0.296, 0.839).

As for the uncorrected formation energy: -1.605 eV/atom.

=====

Below is a geometry-optimized Cs3CaAs2O6 structure, with properties calculated at the PBE-GGA level.

It has space group P-3m1 (No. 164), with a = 6.2879 Å, b = 6.2879 Å, c = 7.8195 Å, α = 90.00°, β = 90.00° and γ = 120.00°. The distinct sites, in fractional coordinates, are Cs at (0.0000, 0.0000, 0.0000), Cs at (0.3333, 0.6667, 0.6855), Ca at (0.0000, 0.0000, 0.5000), As at (0.3333, 0.6667, 0.2373) and O at (0.1829, 0.3658, 0.3233).

As for the uncorrected formation energy: -1.742 eV/atom.

=====

Below is a geometry-optimized Cs2CaAsS4 structure, with properties calculated at the PBE-GGA level.

It has space group Fddd (No. 70, origin choice 2), with a = 6.507 Å, b = 14.579 Å, c = 25.866 Å, α = 90.00°, β = 90.00° and γ = 90.00°. The distinct sites, in fractional coordinates, are Cs at (0.125, 0.125, 0.306), Ca at (0.125, 0.125, 0.125), As at (0.125, 0.125, 0.625) and S at (0.087, 0.278, 0.826).

As for the uncorrected formation energy: -0.933 eV/atom.

=====

Number 1: density 3.61 g/cm³, V 51.5 A^3/atom, E -2.82 eV/atom. Number 2: density 3.96 g/cm³, V 47.9 A^3/atom, E -2.80 eV/atom. Number 3: density 2.19 g/cm³, V 63.8 A^3/atom, E -2.12 eV/atom. Number 4: density 3.07 g/cm³, V 30.1 A^3/atom, E -5.13 eV/atom. Number 5: density 4.25 g/cm³, V 22.3 A^3/atom, E -5.38 eV/atom. Number 6: density 2.76 g/cm³, V 38.3 A^3/atom, E -4.04 eV/atom.